First-principles (PBE) data for crystalline AlAgPb2 at its relaxed geometry, as listed in OQMD via LeMat-Bulk.

a = 5.228 Å, b = 5.228 Å, c = 5.228 Å
α = 60.00°, β = 60.00°, γ = 60.00°
Positions (direct):
Pb  0.000  0.000  0.000
Pb  0.250  0.250  0.250
Al  0.750  0.750  0.750
Ag  0.500  0.500  0.500

Total energy, eV per atom: -3.253

=====

First-principles (PBE) data for crystalline Al2AgPd at its relaxed geometry, as listed in OQMD via LeMat-Bulk.

a = 4.472 Å, b = 4.472 Å, c = 4.472 Å
α = 60.00°, β = 60.00°, γ = 60.00°
Positions (direct):
Al  0.000  0.000  0.000
Al  0.250  0.250  0.250
Ag  0.500  0.500  0.500
Pd  0.750  0.750  0.750

Total energy, eV per atom: -4.106

=====

First-principles (PBE) data for crystalline AlAgPd2 at its relaxed geometry, as listed in OQMD via LeMat-Bulk.

a = 4.431 Å, b = 4.431 Å, c = 4.431 Å
α = 60.00°, β = 60.00°, γ = 60.00°
Positions (direct):
Ag  0.250  0.250  0.250
Al  0.500  0.500  0.500
Pd  0.000  0.000  0.000
Pd  0.750  0.750  0.750

Total energy, eV per atom: -4.614

=====

First-principles (PBE) data for crystalline Al2Ag2Pd at its relaxed geometry, as listed in OQMD via LeMat-Bulk.

a = 6.673 Å, b = 6.673 Å, c = 6.673 Å
α = 147.42°, β = 147.42°, γ = 46.75°
Positions (direct):
Pd  0.000  0.000  0.000
Al  0.598  0.598  0.000
Al  0.402  0.402  0.000
Ag  0.250  0.750  0.500
Ag  0.750  0.250  0.500

ΔE to the lowest computed polymorph, meV per atom: 0.0

=====

First-principles (PBE) data for crystalline Al2Ag2Pd at its relaxed geometry, as listed in OQMD via LeMat-Bulk.

a = 6.484 Å, b = 6.484 Å, c = 6.484 Å
α = 145.48°, β = 145.48°, γ = 49.62°
Positions (direct):
Ag  0.392  0.392  0.000
Ag  0.608  0.608  0.000
Al  0.250  0.750  0.500
Al  0.750  0.250  0.500
Pd  0.000  0.000  0.000

ΔE to the lowest computed polymorph, meV per atom: 95.2

=====

First-principles (PBE) data for crystalline PrAl5AgPd at its relaxed geometry, as listed in OQMD via LeMat-Bulk.

a = 6.531 Å, b = 6.531 Å, c = 6.531 Å
α = 143.28°, β = 111.48°, γ = 80.34°
Positions (direct):
Al  0.672  0.354  0.318
Al  0.000  0.000  0.000
Al  0.335  0.642  0.694
Al  0.948  0.642  0.306
Al  0.036  0.354  0.682
Pd  0.756  0.756  0.000
Pr  0.502  0.002  0.500
Ag  0.252  0.252  0.000

Total energy, eV per atom: -4.403